# Mn3CuTc

A geometry-optimized Mn3CuTc structure (PBE, Alexandria via LeMat-Bulk).

Lattice parameters (Å, degrees): 4.152 4.152 4.152 90.00 90.00 90.00
Fractional positions:
1 Mn 0.000 0.500 0.000
2 Mn 0.000 0.000 0.500
3 Mn 0.500 0.000 0.000
4 Tc 0.500 0.500 0.500
5 Cu 0.000 0.000 0.000

ΔE to the lowest computed polymorph   414 meV per atom
ΔH_f (0 K)   1.773 eV/atom
Total magnetic moment   0.18 μB/f.u.
SG   Pm-3m

***

# Nb3ReMo6

A geometry-optimized Nb3ReMo6 structure (PBE, Alexandria via LeMat-Bulk).

Lattice parameters (Å, degrees): 4.519 9.604 10.621 134.66 90.00 90.00
Fractional positions:
1 Nb 0.250 0.151 0.551
2 Nb 0.750 0.849 0.449
3 Nb 0.250 0.547 0.348
4 Nb 0.750 0.453 0.652
5 Nb 0.250 0.754 0.752
6 Nb 0.750 0.246 0.248
7 Re 0.250 0.352 0.950
8 Re 0.750 0.648 0.050
9 Mo 0.250 0.346 0.448
10 Mo 0.750 0.654 0.552
11 Mo 0.250 0.945 0.149
12 Mo 0.750 0.055 0.851
13 Mo 0.250 0.958 0.655
14 Mo 0.750 0.042 0.345
15 Mo 0.250 0.745 0.244
16 Mo 0.750 0.255 0.756
17 Mo 0.250 0.553 0.857
18 Mo 0.750 0.447 0.143
19 Mo 0.250 0.149 0.047
20 Mo 0.750 0.851 0.953

ΔH_f (0 K)   -0.112 eV/atom
Total magnetic moment   0.00 μB/f.u.
SG   P2_1/m